(1)
Entry from Alexandria via LeMat-Bulk: crystalline LiDy7Tl4 at its relaxed geometry (PBE).

Results
D(E_F) ... 12.39 states/eV per cell
Total magnetic moment ... 1.2 μB per formula unit
Energy relative to the elements ... -0.1 eV per formula unit
VASP energy ... -3.64 eV/atom
Symmetry ... No. 12

extended XYZ file:
```
12
Lattice="7.299 -2.772 0.000 7.299 2.772 0.000 -6.746 0.000 8.899" Properties=species:S:1:pos:R:3 pbc="T T T"
Li 0.000 0.000 0.000
Dy -1.220 0.000 2.926
Dy -2.672 0.000 7.755
Dy 2.215 0.000 3.607
Dy 7.299 0.000 0.000
Dy 5.639 0.000 5.293
Dy 10.526 0.000 1.145
Dy 9.074 0.000 5.974
Tl -0.144 0.000 5.897
Tl 4.792 0.000 1.961
Tl 3.061 0.000 6.938
Tl 7.997 0.000 3.003
```

(2)
Entry from Alexandria via LeMat-Bulk: crystalline ZrVAgMo2 at its relaxed geometry (PBE).

Results
D(E_F) ... 6.66 states/eV per cell
Total magnetic moment ... 0.0 μB per formula unit
Energy relative to the elements ... 5.2 eV per formula unit
VASP energy ... -7.40 eV/atom
Symmetry ... No. 123

extended XYZ file:
```
5
Lattice="4.505 0.000 0.000 0.000 4.505 0.000 0.000 0.000 4.922" Properties=species:S:1:pos:R:3 pbc="T T T"
Zr 0.000 0.000 0.000
V 0.000 0.000 2.461
Ag 2.253 2.253 0.000
Mo 0.000 2.253 2.461
Mo 2.253 0.000 2.461
```

(3)
Entry from Alexandria via LeMat-Bulk: crystalline CsErMnSe3 at its relaxed geometry (PBE).

Results
Total magnetic moment ... 5.0 μB per formula unit
VASP energy ... -5.48 eV/atom
Symmetry ... No. 11

extended XYZ file:
```
12
Lattice="9.650 0.000 0.000 0.000 4.239 0.000 -3.854 0.000 9.589" Properties=species:S:1:pos:R:3 pbc="T T T"
Cs 1.170 1.060 2.345
Cs 4.626 3.179 7.244
Er -0.114 3.179 8.285
Er 5.910 1.060 1.304
Mn -1.533 1.060 5.873
Mn 7.330 3.179 3.716
Se -2.099 1.060 8.267
Se -0.199 3.179 5.265
Se 4.010 3.179 1.481
Se 1.786 1.060 8.108
Se 5.996 1.060 4.325
Se 7.896 3.179 1.323
```

(4)
Entry from Alexandria via LeMat-Bulk: crystalline Rb4Ce3SmS8 at its relaxed geometry (PBE).

Results
D(E_F) ... 18.50 states/eV per cell
Total magnetic moment ... 3.0 μB per formula unit
VASP energy ... -5.49 eV/atom
Symmetry ... No. 166

extended XYZ file:
```
16
Lattice="4.230 2.442 7.683 -4.230 2.442 7.683 0.000 -4.884 7.683" Properties=species:S:1:pos:R:3 pbc="T T T"
Rb 0.000 0.000 0.000
Rb -2.115 -1.221 7.683
Rb -2.115 1.221 15.365
Rb 0.000 2.442 7.683
Ce -4.230 0.000 11.524
Ce -2.115 1.221 3.841
Ce 2.115 1.221 3.841
Sm 0.000 0.000 11.524
S 0.000 0.000 5.346
S -2.099 -1.212 13.026
S 0.000 -2.423 10.022
S -2.099 1.212 10.022
S 2.099 -1.212 13.026
S 0.000 2.423 13.026
S 2.099 1.212 10.022
S 0.000 0.000 17.702
```

(5)
Entry from Alexandria via LeMat-Bulk: crystalline BaRe2Mo at its relaxed geometry (PBE).

Results
E above lowest polymorph ... 1.039 eV/atom
D(E_F) ... 5.79 states/eV per cell
Total magnetic moment ... 0.0 μB per formula unit
Energy relative to the elements ... 7.2 eV per formula unit
VASP energy ... -7.61 eV/atom
Symmetry ... No. 123

extended XYZ file:
```
4
Lattice="3.888 0.000 0.000 0.000 3.888 0.000 0.000 0.000 5.159" Properties=species:S:1:pos:R:3 pbc="T T T"
Ba 0.000 0.000 0.000
Re 0.000 1.944 2.579
Re 1.944 0.000 2.579
Mo 1.944 1.944 0.000
```

(6)
Entry from Alexandria via LeMat-Bulk: crystalline TbAl2H6 at its relaxed geometry (PBE).

Results
D(E_F) ... 3.04 states/eV per cell
Total magnetic moment ... 0.0 μB per formula unit
VASP energy ... -3.08 eV/atom
Symmetry ... No. 225

extended XYZ file:
```
9
Lattice="0.000 3.614 3.614 3.614 0.000 3.614 3.614 3.614 0.000" Properties=species:S:1:pos:R:3 pbc="T T T"
Tb 0.000 0.000 0.000
Al 1.807 1.807 1.807
Al 5.421 5.421 5.421
H 3.614 3.614 2.067
H 3.614 2.067 3.614
H 5.161 3.614 3.614
H 2.067 3.614 3.614
H 3.614 5.161 3.614
H 3.614 3.614 5.161
```

(7)
Entry from Alexandria via LeMat-Bulk: crystalline CrInGe2 at its relaxed geometry (PBE).

Results
D(E_F) ... 2.57 states/eV per cell
Total magnetic moment ... 0.8 μB per formula unit
Energy relative to the elements ... 1.1 eV per formula unit
VASP energy ... -5.12 eV/atom
Symmetry ... No. 166

extended XYZ file:
```
4
Lattice="1.603 0.925 8.261 -1.603 0.925 8.261 0.000 -1.851 8.261" Properties=species:S:1:pos:R:3 pbc="T T T"
Cr 0.000 0.000 0.000
In 0.000 0.000 12.392
Ge 0.000 0.000 6.597
Ge 0.000 0.000 18.187
```

(8)
Entry from Alexandria via LeMat-Bulk: crystalline CaTlSe2 at its relaxed geometry (PBE).

Results
D(E_F) ... 0.51 states/eV per cell
Total magnetic moment ... 0.0 μB per formula unit
VASP energy ... -3.71 eV/atom
Symmetry ... No. 119

extended XYZ file:
```
4
Lattice="-2.040 2.040 7.110 2.040 -2.040 7.110 2.040 2.040 -7.110" Properties=species:S:1:pos:R:3 pbc="T T T"
Ca 0.000 0.000 0.000
Tl 0.000 2.040 3.555
Se 2.040 0.000 3.555
Se 0.000 0.000 7.110
```

(9)
Entry from Alexandria via LeMat-Bulk: crystalline SmCd3Hg2 at its relaxed geometry (PBE).

Results
E above lowest polymorph ... 0.005 eV/atom
D(E_F) ... 5.46 states/eV per cell
Total magnetic moment ... 0.0 μB per formula unit
Energy relative to the elements ... -1.3 eV per formula unit
VASP energy ... -1.56 eV/atom
Symmetry ... No. 12

extended XYZ file:
```
12
Lattice="8.711 -2.346 0.000 8.711 2.346 0.000 -2.747 0.000 7.094" Properties=species:S:1:pos:R:3 pbc="T T T"
Sm 1.540 0.000 1.312
Sm 13.135 0.000 5.782
Cd -0.623 0.000 4.904
Cd 5.081 0.000 0.505
Cd 5.160 0.000 3.485
Cd 9.515 0.000 3.609
Cd 9.594 0.000 6.589
Cd 15.298 0.000 2.190
Hg 2.399 0.000 4.675
Hg 7.937 0.000 1.206
Hg 6.738 0.000 5.888
Hg 12.276 0.000 2.419
```

(10)
Entry from Alexandria via LeMat-Bulk: crystalline Nd3ScPa2N6 at its relaxed geometry (PBE).

Results
D(E_F) ... 5.33 states/eV per cell
Total magnetic moment ... 0.0 μB per formula unit
VASP energy ... -9.05 eV/atom
Symmetry ... No. 12

extended XYZ file:
```
12
Lattice="3.034 -5.258 0.000 3.034 5.258 0.000 -2.016 0.000 5.839" Properties=species:S:1:pos:R:3 pbc="T T T"
Nd 0.000 0.000 0.000
Nd 3.034 1.733 0.000
Nd 3.034 -1.733 0.000
Sc 2.026 0.000 2.920
Pa 2.026 3.505 2.920
Pa 2.026 -3.505 2.920
N 1.005 1.765 1.682
N -0.005 0.000 4.171
N 1.005 -1.765 1.682
N 3.047 1.765 4.157
N 4.057 0.000 1.668
N 3.047 -1.765 4.157
```

(11)
Entry from Alexandria via LeMat-Bulk: crystalline Hf2AsP at its relaxed geometry (PBE).

Results
D(E_F) ... 1.25 states/eV per cell
Total magnetic moment ... 0.0 μB per formula unit
Energy relative to the elements ... -4.5 eV per formula unit
VASP energy ... -8.61 eV/atom
Symmetry ... No. 166

extended XYZ file:
```
4
Lattice="1.876 1.083 6.207 -1.876 1.083 6.207 0.000 -2.166 6.207" Properties=species:S:1:pos:R:3 pbc="T T T"
Hf 0.000 0.000 4.496
Hf 0.000 0.000 14.125
As 0.000 0.000 0.000
P 0.000 0.000 9.311
```

(12)
Entry from Alexandria via LeMat-Bulk: crystalline Sm6Y2Ho3Mg at its relaxed geometry (PBE).

Results
D(E_F) ... 13.91 states/eV per cell
Total magnetic moment ... 0.0 μB per formula unit
Energy relative to the elements ... 0.3 eV per formula unit
VASP energy ... -4.69 eV/atom
Symmetry ... No. 12

extended XYZ file:
```
12
Lattice="3.092 -5.359 0.000 3.092 5.359 0.000 -2.072 0.000 11.563" Properties=species:S:1:pos:R:3 pbc="T T T"
Sm 1.020 1.780 2.889
Sm -0.009 0.000 8.660
Sm 1.020 -1.780 2.889
Sm 3.092 1.780 8.674
Sm 4.120 0.000 2.903
Sm 3.092 -1.780 8.674
Y 3.092 1.784 0.000
Y 3.092 -1.784 0.000
Ho 2.056 3.576 5.782
Ho 2.056 0.000 5.782
Ho 2.056 -3.576 5.782
Mg 0.000 0.000 0.000
```

(13)
Entry from Alexandria via LeMat-Bulk: crystalline KSrFe at its relaxed geometry (PBE).

Results
E above lowest polymorph ... 0.192 eV/atom
D(E_F) ... 4.47 states/eV per cell
Total magnetic moment ... 2.8 μB per formula unit
Energy relative to the elements ... 2.9 eV per formula unit
VASP energy ... -2.79 eV/atom
Symmetry ... No. 216

extended XYZ file:
```
3
Lattice="0.000 3.969 3.969 3.969 0.000 3.969 3.969 3.969 0.000" Properties=species:S:1:pos:R:3 pbc="T T T"
K 0.000 0.000 0.000
Sr 3.969 3.969 3.969
Fe 1.984 1.984 1.984
```

(14)
Entry from Alexandria via LeMat-Bulk: crystalline Nb6Ge3P at its relaxed geometry (PBE).

Results
D(E_F) ... 15.44 states/eV per cell
Total magnetic moment ... 0.0 μB per formula unit
Energy relative to the elements ... -3.0 eV per formula unit
VASP energy ... -8.26 eV/atom
Symmetry ... No. 14

extended XYZ file:
```
20
Lattice="6.074 0.000 0.000 0.000 6.760 0.000 -5.968 0.000 8.684" Properties=species:S:1:pos:R:3 pbc="T T T"
Nb -1.115 0.187 2.122
Nb -4.099 3.193 6.464
Nb 0.803 4.517 0.572
Nb -2.181 5.622 4.914
Nb 2.147 1.070 0.568
Nb -0.836 2.310 4.910
Nb 0.943 4.449 3.774
Nb -2.041 5.690 8.116
Nb 2.287 1.137 3.770
Nb -0.696 2.242 8.112
Nb 4.206 3.567 2.220
Nb 1.222 6.573 6.562
Ge -2.544 0.998 6.532
Ge 0.440 2.382 2.190
Ge 0.053 0.000 4.342
Ge 3.037 3.380 0.000
Ge -0.333 4.377 6.493
Ge 2.650 5.762 2.151
P 0.000 0.000 0.000
P -2.984 3.380 4.342
```

(15)
Entry from Alexandria via LeMat-Bulk: crystalline LuTl at its relaxed geometry (PBE).

Results
D(E_F) ... 3.72 states/eV per cell
Total magnetic moment ... 0.0 μB per formula unit
Energy relative to the elements ... 0.1 eV per formula unit
VASP energy ... -3.40 eV/atom
Symmetry ... No. 225

extended XYZ file:
```
2
Lattice="0.000 3.086 3.086 3.086 0.000 3.086 3.086 3.086 0.000" Properties=species:S:1:pos:R:3 pbc="T T T"
Lu 0.000 0.000 0.000
Tl 3.086 3.086 3.086
```

(16)
Entry from Alexandria via LeMat-Bulk: crystalline La2ZnW at its relaxed geometry (PBE).

Results
D(E_F) ... 4.69 states/eV per cell
Total magnetic moment ... 1.0 μB per formula unit
Energy relative to the elements ... 1.5 eV per formula unit
VASP energy ... -5.64 eV/atom
Symmetry ... No. 12

extended XYZ file:
```
4
Lattice="3.663 -3.667 0.000 3.663 3.667 0.000 -0.010 0.000 3.717" Properties=species:S:1:pos:R:3 pbc="T T T"
La 1.831 1.834 0.000
La 1.831 -1.834 0.000
Zn -0.005 0.000 1.858
W 3.657 0.000 1.858
```

(17)
Entry from Alexandria via LeMat-Bulk: crystalline Rb3AsF at its relaxed geometry (PBE).

Results
E above lowest polymorph ... 0.019 eV/atom
D(E_F) ... 8.99 states/eV per cell
Total magnetic moment ... 1.0 μB per formula unit
VASP energy ... -3.04 eV/atom
Symmetry ... No. 221

extended XYZ file:
```
5
Lattice="5.549 0.000 0.000 0.000 5.549 0.000 0.000 0.000 5.549" Properties=species:S:1:pos:R:3 pbc="T T T"
Rb 0.000 0.000 2.775
Rb 0.000 2.775 0.000
Rb 2.775 0.000 0.000
As 2.775 2.775 2.775
F 0.000 0.000 0.000
```

(18)
Entry from Alexandria via LeMat-Bulk: crystalline Ru5Au4 at its relaxed geometry (PBE).

Results
D(E_F) ... 12.92 states/eV per cell
Total magnetic moment ... 0.8 μB per formula unit
Energy relative to the elements ... 3.3 eV per formula unit
VASP energy ... -6.24 eV/atom
Symmetry ... No. 139

extended XYZ file:
```
9
Lattice="-4.210 4.210 2.008 4.210 -4.210 2.008 4.210 4.210 -2.008" Properties=species:S:1:pos:R:3 pbc="T T T"
Ru 0.000 0.000 0.000
Ru 2.926 2.926 0.000
Ru 1.285 -1.285 2.008
Ru -1.285 1.285 2.008
Ru 1.285 1.285 2.008
Au 2.736 0.000 0.000
Au 5.685 0.000 0.000
Au 0.000 2.736 0.000
Au 0.000 5.685 0.000
```

(19)
Entry from Alexandria via LeMat-Bulk: crystalline Pm5TlSi3 at its relaxed geometry (PBE).

Results
D(E_F) ... 20.25 states/eV per cell
Total magnetic moment ... 1.3 μB per formula unit
VASP energy ... -5.18 eV/atom
Symmetry ... No. 193

extended XYZ file:
```
18
Lattice="9.104 0.000 0.000 -4.552 7.884 0.000 0.000 0.000 6.491" Properties=species:S:1:pos:R:3 pbc="T T T"
Pm -1.349 2.337 1.623
Pm -3.203 5.547 4.868
Pm 2.698 0.000 1.623
Pm 1.349 2.337 4.868
Pm 0.000 5.256 0.000
Pm 0.000 5.256 3.245
Pm 4.552 2.628 0.000
Pm 4.552 2.628 3.245
Pm 6.405 0.000 4.868
Pm 3.203 5.547 1.623
Tl 0.000 0.000 0.000
Tl 0.000 0.000 3.245
Si -1.681 2.911 4.868
Si -2.871 4.973 1.623
Si 3.362 0.000 4.868
Si 1.681 2.911 1.623
Si 5.742 0.000 1.623
Si 2.871 4.973 4.868
```

(20)
Entry from Alexandria via LeMat-Bulk: crystalline BaCr4 at its relaxed geometry (PBE).

Results
E above lowest polymorph ... 0.368 eV/atom
D(E_F) ... 4.67 states/eV per cell
Total magnetic moment ... 0.0 μB per formula unit
Energy relative to the elements ... 5.5 eV per formula unit
VASP energy ... -6.99 eV/atom
Symmetry ... No. 87

extended XYZ file:
```
5
Lattice="-3.382 3.382 2.216 3.382 -3.382 2.216 3.382 3.382 -2.216" Properties=species:S:1:pos:R:3 pbc="T T T"
Ba 0.000 0.000 0.000
Cr 3.374 0.959 0.000
Cr 2.424 -0.008 2.216
Cr 0.959 3.390 0.000
Cr 0.008 2.424 2.216
```

(21)
Entry from Alexandria via LeMat-Bulk: crystalline Cs2ScSnTe4 at its relaxed geometry (PBE).

Results
D(E_F) ... 12.26 states/eV per cell
Total magnetic moment ... 0.0 μB per formula unit
VASP energy ... -3.92 eV/atom
Symmetry ... No. 70

extended XYZ file:
```
16
Lattice="0.000 7.864 13.659 3.595 0.000 13.659 3.595 7.864 0.000" Properties=species:S:1:pos:R:3 pbc="T T T"
Cs 2.696 5.898 1.524
Cs 4.493 9.830 8.354
Cs 2.696 5.898 18.965
Cs 4.493 9.830 25.795
Sc 0.899 1.966 3.415
Sc 6.291 13.762 23.904
Sn 2.696 5.898 10.245
Sn 4.493 9.830 17.074
Te 2.598 3.591 4.935
Te 4.591 7.523 11.764
Te 2.794 8.205 4.935
Te 2.794 3.591 15.554
Te 4.396 12.137 11.764
Te 4.396 7.523 22.384
Te 2.598 8.205 15.554
Te 4.591 12.137 22.384
```